DFT (PBE-GGA) results for crystalline Sm2HoSc2 at its relaxed geometry.

a = 5.4777 Å, b = 6.7876 Å, c = 9.1701 Å
α = 111.72°, β = 107.38°, γ = 90.00°
Closest atoms and distances in Å follow each position.
Fractional coordinates of all 10 atoms:
Sc 0.8072 0.3038 0.1144  4 Sc 3.30-3.44, 3 Ho 3.38-3.39, 5 Sm 3.39-3.55
Ho 0.6255 0.8755 0.7511  6 Sc 3.38-3.39, 4 Sm 3.39-3.42
Sc 0.1928 0.1894 0.8856  4 Sc 3.30-3.44, 3 Ho 3.38-3.39, 5 Sm 3.39-3.55
Sc 0.8072 0.8106 0.1144  4 Sc 3.30-3.44, 3 Ho 3.38-3.39, 5 Sm 3.39-3.55
Sm 0.6259 0.3759 0.7517  6 Sc 3.39-3.41, 2 Ho 3.39, 2 Sm 3.40
Sm 0.0013 0.2513 0.5026  4 Sm 3.39-3.40, 2 Ho 3.42, 4 Sc 3.54-3.55
Ho 0.3745 0.1245 0.2489  6 Sc 3.38-3.39, 4 Sm 3.39-3.42
Sm 0.9987 0.7487 0.4974  4 Sm 3.39-3.40, 2 Ho 3.42, 4 Sc 3.54-3.55
Sm 0.3741 0.6241 0.2483  6 Sc 3.39-3.41, 2 Ho 3.39, 2 Sm 3.40
Sc 0.1928 0.6962 0.8856  4 Sc 3.30-3.44, 3 Ho 3.38-3.39, 5 Sm 3.39-3.55

ΔE_f = 0.13 eV/atom
Mass density = 6.15 g cm⁻³
Total magnetic moment = 0.00 μB per cell
Energy above the most stable polymorph in this dataset = 0.0000 eV/atom